[1]
{"formula": "Ca2AgSb", "functional": "PBE-GGA", "state": "relaxed", "lattice_angstrom": [[-2.1435, 2.3521, 5.4501], [2.1435, -2.3521, 5.4501], [2.1435, 2.3521, -5.4501]], "species": ["Ca", "Ca", "Ag", "Sb"], "frac_coords": [[0.0000, 0.0000, 0.0000], [0.7310, 0.2310, 0.5000], [0.4654, 0.4654, 0.0000], [0.2645, 0.7645, 0.5000]], "formation_energy_uncorrected_ev_per_atom": -0.515, "dft_energy_ev_per_cell": -13.0, "spacegroup": "Imm2"}

[2]
{"formula": "CoRh2Cl2", "functional": "PBE-GGA", "state": "relaxed", "lattice_angstrom": [[5.9893, 0.0000, 0.0000], [0.0000, 5.9893, 0.0000], [0.0000, 0.0000, 4.5018]], "species": ["Co", "Co", "Rh", "Rh", "Rh", "Rh", "Cl", "Cl", "Cl", "Cl"], "frac_coords": [[0.0000, 0.0000, 0.0000], [0.5000, 0.5000, 0.0000], [0.2340, 0.2660, 0.5000], [0.2660, 0.7660, 0.5000], [0.7340, 0.2340, 0.5000], [0.7660, 0.7340, 0.5000], [0.1746, 0.3254, 0.0000], [0.3254, 0.8254, 0.0000], [0.6746, 0.1746, 0.0000], [0.8254, 0.6746, 0.0000]], "formation_energy_uncorrected_ev_per_atom": 0.416, "polymorph_energy_mev_per_atom": 0, "dft_energy_ev_per_cell": -46.8, "spacegroup": "P4/mbm"}

[3]
{"formula": "MnTl2SiS4", "functional": "PBE-GGA", "state": "relaxed", "lattice_angstrom": [[0.0000, 6.3651, 11.9380], [2.9335, 0.0000, 11.9380], [2.9335, 6.3651, 0.0000]], "species": ["Mn", "Mn", "Tl", "Tl", "Tl", "Tl", "Si", "Si", "S", "S", "S", "S", "S", "S", "S", "S"], "frac_coords": [[0.1250, 0.1250, 0.1250], [0.8750, 0.8750, 0.8750], [0.0649, 0.0649, 0.6851], [0.3149, 0.3149, 0.9351], [0.6851, 0.6851, 0.0649], [0.9351, 0.9351, 0.3149], [0.3750, 0.3750, 0.3750], [0.6250, 0.6250, 0.6250], [0.0094, 0.6412, 0.5429], [0.3064, 0.5429, 0.6412], [0.3588, 0.9906, 0.6936], [0.4571, 0.6936, 0.9906], [0.5429, 0.3064, 0.0094], [0.6412, 0.0094, 0.3064], [0.6936, 0.4571, 0.3588], [0.9906, 0.3588, 0.4571]], "formation_energy_uncorrected_ev_per_atom": -0.550, "dft_energy_ev_per_cell": -80.5, "spacegroup": "Fddd"}

[4]
{"formula": "PrGdTlSn", "functional": "PBE-GGA", "state": "relaxed", "lattice_angstrom": [[0.0000, 3.8722, 3.8722], [3.8722, 0.0000, 3.8722], [3.8722, 3.8722, 0.0000]], "species": ["Pr", "Gd", "Tl", "Sn"], "frac_coords": [[0.0000, 0.0000, 0.0000], [0.5000, 0.5000, 0.5000], [0.7500, 0.7500, 0.7500], [0.2500, 0.2500, 0.2500]], "dft_energy_ev_per_cell": -27.2, "spacegroup": "F-43m", "formation_enthalpy_0k_ev_per_atom": -0.4991}

[5]
{"formula": "Nd8Co3RhI4", "functional": "PBE-GGA", "state": "relaxed", "lattice_angstrom": [[7.0878, -4.0946, 0.0000], [7.0878, 4.0946, 0.0000], [-4.7196, 0.0000, 8.1329]], "species": ["Nd", "Nd", "Nd", "Nd", "Nd", "Nd", "Nd", "Nd", "Co", "Co", "Co", "Rh", "I", "I", "I", "I"], "frac_coords": [[0.2198, 0.7323, 0.6834], [0.2276, 0.2276, 0.6815], [0.2679, 0.2679, 0.3168], [0.2677, 0.7802, 0.3166], [0.7323, 0.2198, 0.6834], [0.7321, 0.7321, 0.6832], [0.7724, 0.7724, 0.3185], [0.7802, 0.2677, 0.3166], [0.0000, 0.0000, 0.5000], [0.0000, 0.5000, 0.5000], [0.5000, 0.0000, 0.5000], [0.5000, 0.5000, 0.5000], [0.0000, 0.0000, 0.0000], [0.0000, 0.5000, 0.0000], [0.5000, 0.0000, 0.0000], [0.5000, 0.5000, 0.0000]], "formation_energy_uncorrected_ev_per_atom": -0.671, "dft_energy_ev_per_cell": -83.8, "spacegroup": "C2/m"}

[6]
{"formula": "TbYTmZn", "functional": "PBE-GGA", "state": "relaxed", "lattice_angstrom": [[3.5520, 0.0000, 0.0000], [0.0000, 3.5520, 0.0000], [0.0000, 0.0000, 8.6144]], "species": ["Tb", "Y", "Tm", "Zn"], "frac_coords": [[0.0000, 0.0000, 0.0000], [0.5000, 0.5000, 0.7008], [0.5000, 0.5000, 0.2909], [0.0000, 0.0000, 0.4895]], "polymorph_energy_mev_per_atom": 0, "dft_energy_ev_per_cell": -17.5, "spacegroup": "P4mm", "formation_enthalpy_0k_ev_per_atom": -0.1653}

[7]
{"formula": "LiNpGaSi", "functional": "PBE-GGA", "state": "relaxed", "lattice_angstrom": [[0.0000, 3.3389, 3.3389], [3.3389, 0.0000, 3.3389], [3.3389, 3.3389, 0.0000]], "species": ["Li", "Np", "Ga", "Si"], "frac_coords": [[0.0000, 0.0000, 0.0000], [0.5000, 0.5000, 0.5000], [0.7500, 0.7500, 0.7500], [0.2500, 0.2500, 0.2500]], "formation_energy_uncorrected_ev_per_atom": -0.069, "dft_energy_ev_per_cell": -23.6, "spacegroup": "F-43m"}

[8]
{"formula": "Y5Ho5Th", "functional": "PBE-GGA", "state": "relaxed", "lattice_angstrom": [[6.0329, 0.0000, 0.0000], [-3.0164, 5.2246, 0.0000], [0.0000, 0.0000, 11.6789]], "species": ["Y", "Y", "Y", "Y", "Y", "Ho", "Ho", "Ho", "Ho", "Ho", "Th"], "frac_coords": [[0.0000, 0.0000, 0.2397], [0.0000, 0.0000, 0.7603], [0.3343, 0.1672, 0.0000], [0.8328, 0.1672, 0.0000], [0.8328, 0.6657, 0.0000], [0.0000, 0.0000, 0.5000], [0.3333, 0.6667, 0.1793], [0.3333, 0.6667, 0.8207], [0.6667, 0.3333, 0.3503], [0.6667, 0.3333, 0.6497], [0.3333, 0.6667, 0.5000]], "dft_energy_ev_per_cell": -58.4, "spacegroup": "P-6m2", "formation_enthalpy_0k_ev_per_atom": 0.3812}

[9]
{"formula": "La3TbTe6", "functional": "PBE-GGA", "state": "relaxed", "lattice_angstrom": [[12.8218, 0.0000, 0.0000], [0.0000, 4.5195, 0.0000], [-4.2530, 0.0000, 12.5430]], "species": ["La", "La", "La", "La", "La", "La", "Tb", "Tb", "Te", "Te", "Te", "Te", "Te", "Te", "Te", "Te", "Te", "Te", "Te", "Te"], "frac_coords": [[0.0808, 0.2500, 0.1699], [0.1839, 0.7500, 0.5061], [0.3417, 0.2500, 0.9237], [0.6583, 0.7500, 0.0763], [0.8161, 0.2500, 0.4939], [0.9192, 0.7500, 0.8301], [0.4597, 0.2500, 0.3124], [0.5403, 0.7500, 0.6876], [0.0156, 0.2500, 0.3803], [0.0980, 0.2500, 0.9316], [0.2609, 0.7500, 0.2878], [0.3173, 0.7500, 0.7512], [0.3948, 0.2500, 0.5360], [0.4172, 0.7500, 0.1080], [0.5828, 0.2500, 0.8920], [0.6052, 0.7500, 0.4640], [0.6827, 0.2500, 0.2488], [0.7391, 0.2500, 0.7122], [0.9020, 0.7500, 0.0684], [0.9844, 0.7500, 0.6197]], "formation_energy_uncorrected_ev_per_atom": -1.485, "polymorph_energy_mev_per_atom": 3, "dft_energy_ev_per_cell": -106.2, "spacegroup": "P2_1/m"}

[10]
{"formula": "ScGe2Pd", "functional": "PBE-GGA", "state": "relaxed", "lattice_angstrom": [[-2.0830, 2.0830, 8.9643], [2.0830, -2.0830, 8.9643], [2.0830, 2.0830, -8.9643]], "species": ["Sc", "Sc", "Ge", "Ge", "Ge", "Ge", "Pd", "Pd"], "frac_coords": [[0.0000, 0.0000, 0.0000], [0.7500, 0.2500, 0.5000], [0.1789, 0.6250, 0.0539], [0.3750, 0.4289, 0.5539], [0.5711, 0.1250, 0.9461], [0.8750, 0.8211, 0.4461], [0.2500, 0.7500, 0.5000], [0.5000, 0.5000, 0.0000]], "dft_energy_ev_per_cell": -44.6, "spacegroup": "I-42d", "formation_enthalpy_0k_ev_per_atom": -0.3817}

[11]
{"formula": "Pr3Sm3Ho4", "functional": "PBE-GGA", "state": "relaxed", "lattice_angstrom": [[3.6948, 0.0000, 0.0000], [0.0000, 6.7903, 6.8040], [0.0000, -6.7903, 6.8040]], "species": ["Pr", "Pr", "Pr", "Sm", "Sm", "Sm", "Ho", "Ho", "Ho", "Ho"], "frac_coords": [[0.0000, 0.0000, 0.0000], [0.0000, 0.4990, 0.8492], [0.0000, 0.8492, 0.4990], [0.0000, 0.3494, 0.3494], [0.5000, 0.1756, 0.6719], [0.5000, 0.6719, 0.1756], [0.5000, 0.0533, 0.2987], [0.5000, 0.2987, 0.0533], [0.5000, 0.5503, 0.5503], [0.5000, 0.7976, 0.7976]], "dft_energy_ev_per_cell": -45.8, "spacegroup": "Amm2", "formation_enthalpy_0k_ev_per_atom": 0.0958}

[12]
{"formula": "LiEr2Mg4", "functional": "PBE-GGA", "state": "relaxed", "lattice_angstrom": [[2.6868, -10.9340, 0.0000], [2.6868, 10.9340, 0.0000], [0.0000, 0.0000, 3.0906]], "species": ["Li", "Er", "Er", "Mg", "Mg", "Mg", "Mg"], "frac_coords": [[0.0000, 0.0000, 0.0000], [0.2915, 0.7085, 0.5000], [0.7085, 0.2915, 0.5000], [0.1292, 0.8708, 0.5000], [0.4279, 0.5721, 0.0000], [0.5721, 0.4279, 0.0000], [0.8708, 0.1292, 0.5000]], "polymorph_energy_mev_per_atom": 150, "dft_energy_ev_per_cell": -16.1, "spacegroup": "Cmmm", "formation_enthalpy_0k_ev_per_atom": 0.1871}

[13]
{"formula": "Rb3Mn2H9", "functional": "PBE-GGA", "state": "relaxed", "lattice_angstrom": [[5.1960, 2.9999, 4.7723], [-5.1960, 2.9999, 4.7723], [0.0000, -5.9999, 4.7723]], "species": ["Rb", "Rb", "Rb", "Rb", "Rb", "Rb", "Mn", "Mn", "Mn", "Mn", "H", "H", "H", "H", "H", "H", "H", "H", "H", "H", "H", "H", "H", "H", "H", "H", "H", "H"], "frac_coords": [[0.0965, 0.7500, 0.4035], [0.2500, 0.5965, 0.9035], [0.4035, 0.0965, 0.7500], [0.5965, 0.9035, 0.2500], [0.7500, 0.4035, 0.0965], [0.9035, 0.2500, 0.5965], [0.1559, 0.1559, 0.1559], [0.3441, 0.3441, 0.3441], [0.6559, 0.6559, 0.6559], [0.8441, 0.8441, 0.8441], [0.0411, 0.8974, 0.7390], [0.1026, 0.2610, 0.9589], [0.1380, 0.3620, 0.2500], [0.2390, 0.3974, 0.5411], [0.2500, 0.1380, 0.3620], [0.2610, 0.9589, 0.1026], [0.3620, 0.2500, 0.1380], [0.3974, 0.5411, 0.2390], [0.4589, 0.7610, 0.6026], [0.5411, 0.2390, 0.3974], [0.6026, 0.4589, 0.7610], [0.6380, 0.7500, 0.8620], [0.7390, 0.0411, 0.8974], [0.7500, 0.8620, 0.6380], [0.7610, 0.6026, 0.4589], [0.8620, 0.6380, 0.7500], [0.8974, 0.7390, 0.0411], [0.9589, 0.1026, 0.2610]], "dft_energy_ev_per_cell": -104.9, "spacegroup": "R-3c"}

[14]
{"formula": "RbMgP2Cl", "functional": "PBE-GGA", "state": "relaxed", "lattice_angstrom": [[4.9964, 0.0000, 0.0000], [0.0000, 4.9964, 0.0000], [0.0000, 0.0000, 5.5704]], "species": ["Rb", "Mg", "P", "P", "Cl"], "frac_coords": [[0.0000, 0.0000, 0.0000], [0.5000, 0.5000, 0.5000], [0.0000, 0.5000, 0.5000], [0.5000, 0.0000, 0.5000], [0.5000, 0.5000, 0.0000]], "formation_energy_uncorrected_ev_per_atom": -0.146, "polymorph_energy_mev_per_atom": 0, "dft_energy_ev_per_cell": -16.0, "spacegroup": "P4/mmm"}

[15]
{"formula": "CsTeCI2", "functional": "PBE-GGA", "state": "relaxed", "lattice_angstrom": [[6.5205, 0.0000, 0.0000], [0.0000, 6.5205, 0.0000], [0.0000, 0.0000, 4.2781]], "species": ["Cs", "Te", "C", "I", "I"], "frac_coords": [[0.0000, 0.0000, 0.0000], [0.5000, 0.5000, 0.0000], [0.5000, 0.5000, 0.5000], [0.0000, 0.5000, 0.5000], [0.5000, 0.0000, 0.5000]], "formation_energy_uncorrected_ev_per_atom": 0.444, "dft_energy_ev_per_cell": -14.1, "spacegroup": "P4/mmm"}

[16]
{"formula": "Sm2Ho5In", "functional": "PBE-GGA", "state": "relaxed", "lattice_angstrom": [[-2.4489, 2.4489, 10.0951], [2.4489, -2.4489, 10.0951], [2.4489, 2.4489, -10.0951]], "species": ["Sm", "Sm", "Ho", "Ho", "Ho", "Ho", "Ho", "In"], "frac_coords": [[0.2449, 0.2449, 0.0000], [0.7551, 0.7551, 0.0000], [0.0000, 0.0000, 0.0000], [0.1199, 0.6199, 0.5000], [0.3801, 0.8801, 0.5000], [0.6199, 0.1199, 0.5000], [0.8801, 0.3801, 0.5000], [0.5000, 0.5000, 0.0000]], "dft_energy_ev_per_cell": -35.9, "spacegroup": "I4/mmm", "formation_enthalpy_0k_ev_per_atom": -0.1059}

[17]
{"formula": "AcNdTeBr", "functional": "PBE-GGA", "state": "relaxed", "lattice_angstrom": [[0.0000, 3.9099, 3.9099], [3.9099, 0.0000, 3.9099], [3.9099, 3.9099, 0.0000]], "species": ["Ac", "Nd", "Te", "Br"], "frac_coords": [[0.0000, 0.0000, 0.0000], [0.5000, 0.5000, 0.5000], [0.2500, 0.2500, 0.2500], [0.7500, 0.7500, 0.7500]], "formation_energy_uncorrected_ev_per_atom": -1.217, "dft_energy_ev_per_cell": -18.6, "spacegroup": "F-43m"}

[18]
{"formula": "Tb4CuRh3", "functional": "PBE-GGA", "state": "relaxed", "lattice_angstrom": [[3.7590, 0.0000, 0.0000], [0.0000, 4.3587, 0.0000], [0.0000, 0.0000, 10.5654]], "species": ["Tb", "Tb", "Tb", "Tb", "Cu", "Rh", "Rh", "Rh"], "frac_coords": [[0.0000, 0.0000, 0.0000], [0.0000, 0.5000, 0.2719], [0.5000, 0.0000, 0.4894], [0.5000, 0.5000, 0.7726], [0.0000, 0.0000, 0.7077], [0.0000, 0.5000, 0.5603], [0.5000, 0.0000, 0.2221], [0.5000, 0.5000, 0.0403]], "dft_energy_ev_per_cell": -50.3, "spacegroup": "Pmm2", "formation_enthalpy_0k_ev_per_atom": -0.7014}

[19]
{"formula": "Ca2PtAu", "functional": "PBE-GGA", "state": "relaxed", "lattice_angstrom": [[3.5405, 0.0000, 0.0000], [0.0000, 3.5868, 0.0000], [0.0000, 0.0000, 7.1624]], "species": ["Ca", "Ca", "Pt", "Au"], "frac_coords": [[0.0000, 0.0000, 0.2360], [0.0000, 0.0000, 0.7640], [0.5000, 0.5000, 0.0000], [0.5000, 0.5000, 0.5000]], "dft_energy_ev_per_cell": -16.7, "spacegroup": "Pmmm", "formation_enthalpy_0k_ev_per_atom": -0.8533}

[20]
{"formula": "SrInN2O", "functional": "PBE-GGA", "state": "relaxed", "lattice_angstrom": [[4.3202, 0.0000, 0.0000], [0.0000, 4.3202, 0.0000], [0.0000, 0.0000, 4.3366]], "species": ["Sr", "In", "N", "N", "O"], "frac_coords": [[0.0000, 0.0000, 0.0000], [0.5000, 0.5000, 0.5000], [0.0000, 0.5000, 0.5000], [0.5000, 0.0000, 0.5000], [0.5000, 0.5000, 0.0000]], "formation_energy_uncorrected_ev_per_atom": 0.069, "dft_energy_ev_per_cell": -25.7, "spacegroup": "P4/mmm"}

[21]
{"formula": "LiHo3Ru2", "functional": "PBE-GGA", "state": "relaxed", "lattice_angstrom": [[3.3981, 0.0000, 0.0000], [0.0000, 3.3981, 0.0000], [0.0000, 0.0000, 11.3932]], "species": ["Li", "Ho", "Ho", "Ho", "Ru", "Ru"], "frac_coords": [[0.0000, 0.0000, 0.0000], [0.5000, 0.5000, 0.2076], [0.5000, 0.5000, 0.5000], [0.5000, 0.5000, 0.7924], [0.0000, 0.0000, 0.3440], [0.0000, 0.0000, 0.6560]], "dft_energy_ev_per_cell": -36.1, "spacegroup": "P4/mmm", "formation_enthalpy_0k_ev_per_atom": -0.3201}

[22]
{"formula": "AlSbTe2Ru", "functional": "PBE-GGA", "state": "relaxed", "lattice_angstrom": [[5.1669, 0.0000, 0.0000], [0.0000, 5.1669, 0.0000], [0.0000, 0.0000, 5.0761]], "species": ["Al", "Sb", "Te", "Te", "Ru"], "frac_coords": [[0.0000, 0.0000, 0.0000], [0.0000, 0.0000, 0.5000], [0.0000, 0.5000, 0.0000], [0.5000, 0.0000, 0.0000], [0.5000, 0.5000, 0.5000]], "formation_energy_uncorrected_ev_per_atom": 1.096, "polymorph_energy_mev_per_atom": 571, "dft_energy_ev_per_cell": -17.9, "spacegroup": "P4/mmm"}

[23]
{"formula": "Gd2TcCl", "functional": "PBE-GGA", "state": "relaxed", "lattice_angstrom": [[1.8399, 1.0623, 9.2080], [-1.8399, 1.0623, 9.2080], [0.0000, -2.1245, 9.2080]], "species": ["Gd", "Gd", "Tc", "Cl"], "frac_coords": [[0.0979, 0.0979, 0.0979], [0.9021, 0.9021, 0.9021], [0.5000, 0.5000, 0.5000], [0.0000, 0.0000, 0.0000]], "formation_energy_uncorrected_ev_per_atom": -0.473, "polymorph_energy_mev_per_atom": 256, "dft_energy_ev_per_cell": -42.3, "spacegroup": "R-3m"}

[24]
{"formula": "Sc2SbP", "functional": "PBE-GGA", "state": "relaxed", "lattice_angstrom": [[0.0000, 3.4559, 3.4559], [3.4559, 0.0000, 3.4559], [3.4559, 3.4559, 0.0000]], "species": ["Sc", "Sc", "Sb", "P"], "frac_coords": [[0.0000, 0.0000, 0.0000], [0.2500, 0.2500, 0.2500], [0.7500, 0.7500, 0.7500], [0.5000, 0.5000, 0.5000]], "formation_energy_uncorrected_ev_per_atom": -0.165, "dft_energy_ev_per_cell": -22.9, "spacegroup": "F-43m"}